# 1
VASP calculation (PBE) on TbNd2TmTe6 after structural relaxation.

```
10
Lattice="-6.8247 -0.0697 -3.8303 -6.0505 -4.0593 2.8575 -6.3885 4.3061 3.3081" Properties=species:S:1:pos:R:3 pbc="T T T"
Te -12.1279 0.3111 2.8775
Te -8.0926 1.4768 3.3828
Te -7.0105 0.2121 -0.8234
Te -11.6268 -1.3730 -1.0087
Te -8.7417 -2.6838 2.7075
Te -10.2776 2.8210 0.0190
Tb -4.3516 -1.2136 -0.2203
Nd -9.5453 -0.1463 1.0174
Nd -6.3024 4.0723 3.1586
Tm -13.9823 -1.1285 0.9454
```

Results
The symmetry is R3 (146). Its calculated total energy is -5.113 eV per atom. As for the uncorrected formation energy: -1316 kJ/mol of formula units. As for the magnetic moment: 0.00 μB/f.u.

***

# 2
VASP calculation (PBE) on Ca2TiZn2 after structural relaxation.

```
10
Lattice="-5.6118 -3.9924 -2.1634 4.4892 -4.3609 -3.5974 0.4442 -2.6953 3.8217" Properties=species:S:1:pos:R:3 pbc="T T T"
Zn 1.8278 -5.2821 -3.9377
Zn 0.9447 -2.1330 -1.6142
Zn -2.9504 -3.0712 -1.8231
Zn -2.0673 -6.2202 -4.1466
Ca 0.1112 -7.6393 -2.5135
Ca 2.2673 -5.0119 -0.9111
Ca -0.7895 -3.4093 0.5744
Ca -2.9457 -6.0367 -1.0279
Ti -0.5613 -4.1766 -2.8804
Ti 0.0000 0.0000 0.0000
```

Results
The symmetry is P4/mbm (127). The value obtained for the formation energy is 0.051 eV/atom. Its calculated total energy is -2.838 eV per atom. The density of states at the Fermi level comes out at 4.3 states/eV/f.u. As for the magnetic moment: 2.12 μB/f.u.

***

# 3
VASP calculation (PBE) on SrNi6Ge12 after structural relaxation.

```
19
Lattice="-3.7232 4.1064 -4.6085 -3.5469 0.3189 6.2675 6.2662 3.3956 1.0809" Properties=species:S:1:pos:R:3 pbc="T T T"
Ni 0.7789 5.4828 -0.6825
Ni -1.7828 2.3381 3.4223
Ni 0.8534 3.8811 3.9169
Ni 2.3671 3.6392 1.2289
Ni -1.8574 3.9398 -1.1771
Ni -3.3711 4.1817 1.5109
Ge -1.5948 5.7399 0.3874
Ge -2.0908 2.2718 0.8250
Ge -4.2957 4.1804 -0.7908
Ge -0.4350 2.4721 5.5004
Ge -4.2287 2.7420 3.3397
Ge -1.5475 4.7231 3.3071
Ge 3.2918 3.6405 3.5306
Ge 0.5909 2.0810 2.3524
Ge 0.5435 3.0978 -0.5673
Ge -0.5689 5.3488 -2.7605
Ge 1.0869 5.5491 1.9148
Ge 3.2248 5.0789 -0.5998
Sr 0.0000 0.0000 0.0000
```

Results
The symmetry is R-3m (166). The value obtained for the formation energy is -0.115 eV/atom. Its calculated total energy is -4.946 eV per atom. The density of states at the Fermi level comes out at 10.8 states/eV/f.u. As for the magnetic moment: 0.00 μB/f.u.

***

# 4
VASP calculation (PBE) on PtPbW2 after structural relaxation.

```
4
Lattice="-8.8702 0.2534 4.1626 -9.6254 -0.9579 1.5827 -8.6431 -2.6613 3.7797" Properties=species:S:1:pos:R:3 pbc="T T T"
Pt -20.3540 -2.5243 7.1437
Pb -6.7847 -0.8414 2.3812
W -13.3648 -1.6575 4.6907
W -0.2045 -0.0254 0.0718
```

Results
The symmetry is R-3m (166). The value obtained for the formation energy is 0.637 eV/atom. Its calculated total energy is -8.277 eV per atom. The density of states at the Fermi level comes out at 0.8 states/eV/f.u. As for the magnetic moment: 0.00 μB/f.u.

***

# 5
VASP calculation (PBE) on Fe2Se after structural relaxation.

```
3
Lattice="-0.3384 2.8954 3.4130 -3.2003 -0.7044 3.0673 3.2346 -2.3789 -2.0061" Properties=species:S:1:pos:R:3 pbc="T T T"
Fe -2.3835 1.4757 4.3649
Fe -1.1552 0.7152 2.1154
Se 0.0000 0.0000 0.0000
```

Results
The symmetry is I4/mmm (139). Its calculated total energy is -6.624 eV per atom. The density of states at the Fermi level comes out at 2.6 states/eV/f.u. As for the uncorrected formation energy: 52 kJ/mol of formula units. As for the magnetic moment: 5.17 μB/f.u. The distance to the lowest polymorph of the same formula comes out at 320 meV/atom.

***

# 6
VASP calculation (PBE) on SiSb2P after structural relaxation.

```
4
Lattice="-0.0414 -3.4075 -0.5271 1.0868 -0.5131 3.2320 -6.6565 -0.2589 2.1973" Properties=species:S:1:pos:R:3 pbc="T T T"
Si -1.1414 -2.0251 1.9018
Sb -3.3516 -0.1304 1.1063
Sb -6.6332 -0.2580 2.1895
P -4.4697 -2.1545 3.0004
```

Results
The symmetry is P4/mmm (123). Its calculated total energy is -4.241 eV per atom. The density of states at the Fermi level comes out at 2.7 states/eV/f.u. As for the uncorrected formation energy: 204 kJ/mol of formula units. As for the magnetic moment: 0.00 μB/f.u. The distance to the lowest polymorph of the same formula comes out at 457 meV/atom.

***

# 7
VASP calculation (PBE) on LiTeAs2 after structural relaxation.

```
4
Lattice="-0.7806 -3.8541 -2.8361 4.6738 0.0023 -1.2894 0.7637 -2.1890 2.7645" Properties=species:S:1:pos:R:3 pbc="T T T"
As 0.0000 0.0000 0.0000
As 1.9466 -1.9259 -2.0628
Li -0.0084 -3.0215 -0.0358
Te 2.7188 -1.0934 0.7375
```

Results
The symmetry is P4/mmm (123). Its calculated total energy is -3.509 eV per atom. The density of states at the Fermi level comes out at 1.9 states/eV/f.u. As for the uncorrected formation energy: 31 kJ/mol of formula units. As for the magnetic moment: 0.00 μB/f.u.

***

# 8
VASP calculation (PBE) on Ti5CuSn3 after structural relaxation.

```
18
Lattice="-1.6254 -1.1742 -7.9702 7.7274 -0.5544 2.7431 -0.7250 -5.4214 0.9465" Properties=species:S:1:pos:R:3 pbc="T T T"
Ti -0.9798 -4.3810 -1.4282
Ti -1.3706 -2.2145 -5.5954
Ti 1.4922 -0.9676 -4.3991
Ti 5.4732 -1.7610 2.2439
Ti 4.2473 -3.4717 -0.3547
Ti 1.5292 -4.2148 1.4458
Ti 1.1297 -3.6783 -3.9258
Ti 1.4557 -1.8191 -1.1656
Ti 4.6098 -0.7610 -0.8280
Ti 3.9213 -5.3309 -3.1149
Cu -0.3625 -2.7107 0.4733
Cu 0.0000 0.0000 0.0000
Sn -0.8045 -1.8056 -2.8197
Sn 1.7962 -4.7289 -1.2945
Sn 2.7820 -1.5680 1.2885
Sn -1.5459 -4.7899 -4.2039
Sn 4.2204 -4.4079 2.4011
Sn 3.5808 -2.4211 -2.9860
```

Results
The symmetry is P6_3/mcm (193). The value obtained for the formation energy is -0.350 eV/atom. Its calculated total energy is -6.526 eV per atom. The density of states at the Fermi level comes out at 10.1 states/eV/f.u. As for the magnetic moment: 0.00 μB/f.u.

***

# 9
VASP calculation (PBE) on BaRuS2O8 after structural relaxation.

```
12
Lattice="4.9806 -0.0907 0.0480 2.2171 4.4608 0.0480 0.4167 0.2530 7.7998" Properties=species:S:1:pos:R:3 pbc="T T T"
O 2.1796 1.3234 7.3265
O 3.2257 3.3901 1.6001
O 4.3886 1.2330 6.2958
O 4.4959 1.2982 1.6001
O 2.4918 1.5130 4.8476
O 5.4347 3.2997 0.5694
O 3.1184 3.3250 6.2958
O 5.1225 3.1102 3.0483
Ru 0.0000 0.0000 0.0000
Ba 0.2083 0.1265 3.8999
S 2.9954 1.8187 6.2245
S 4.6189 2.8044 1.6714
```

Results
The symmetry is C2/m (12). Its calculated total energy is -6.438 eV per atom. As for the uncorrected formation energy: -1749 kJ/mol of formula units. As for the magnetic moment: 0.03 μB/f.u.

***

# 10
VASP calculation (PBE) on TmCl2F4 after structural relaxation.

```
7
Lattice="3.7966 -0.1611 -0.8938 -0.3039 3.2988 -1.6961 -0.8138 -0.5366 10.4905" Properties=species:S:1:pos:R:3 pbc="T T T"
F 0.5253 2.0914 7.3346
F 2.1536 0.5097 0.5659
F 2.5884 0.3706 7.6784
F 0.0905 2.2306 0.2221
Cl 2.9519 2.3343 1.8268
Cl -0.2730 0.2668 6.0738
Tm 0.0000 0.0000 0.0000
```

Results
The symmetry is P-1 (2). Its calculated total energy is -4.591 eV per atom. The density of states at the Fermi level comes out at 2.1 states/eV/f.u. As for the uncorrected formation energy: -1591 kJ/mol of formula units. As for the magnetic moment: 0.97 μB/f.u.

***

# 11
VASP calculation (PBE) on NdDy2Tm3Te6 after structural relaxation.

```
12
Lattice="-0.7544 3.0792 2.9197 -2.0357 -6.1410 5.9506 9.7753 -0.2026 -0.4415" Properties=species:S:1:pos:R:3 pbc="T T T"
Te 5.4096 -1.6637 3.1524
Te 4.2816 -4.7716 6.1387
Te 2.7035 1.5072 2.2901
Te -1.4942 -4.5345 4.3962
Te 1.5755 -1.6007 5.2763
Te 8.4793 1.2701 4.0326
Nd -0.3772 1.5396 1.4598
Tm 5.6265 1.4022 3.1561
Tm -1.3951 -1.5309 4.4351
Tm 1.3586 -4.6666 5.2726
Dy 2.4037 -1.5650 2.2716
Dy 4.5814 -1.6994 6.1572
```

Results
The symmetry is C2/m (12). Its calculated total energy is -5.103 eV per atom. The density of states at the Fermi level comes out at 6.3 states/eV/f.u. As for the uncorrected formation energy: -1447 kJ/mol of formula units. As for the magnetic moment: 0.00 μB/f.u.

***

# 12
VASP calculation (PBE) on TiAs2PbBr after structural relaxation.

```
5
Lattice="-2.4803 4.2828 -0.0213 -1.2111 -0.6777 4.7506 4.3515 2.5274 1.4699" Properties=species:S:1:pos:R:3 pbc="T T T"
As -0.6055 -0.3389 2.3753
As -1.2402 2.1414 -0.0107
Br 2.1757 1.2637 0.7349
Ti 0.0000 0.0000 0.0000
Pb 0.3301 3.0662 3.0996
```

Results
The symmetry is P4/mmm (123). Its calculated total energy is -4.708 eV per atom. The density of states at the Fermi level comes out at 2.5 states/eV/f.u. As for the uncorrected formation energy: -93 kJ/mol of formula units. As for the magnetic moment: 0.00 μB/f.u. The distance to the lowest polymorph of the same formula comes out at 0 meV/atom.

***

Q: Among the records above, which one has the highest calculated total energy?
A: Ca2TiZn2

***

Q: Among the records above, which one has the highest calculated total energy?
A: Ca2TiZn2

***

Q: Look up the magnetic moment of the sixth one.
A: 0.00 μB/f.u.

***

Q: The highest calculated total energy belongs to which entry?
A: Ca2TiZn2